The following is a PBE calculation of a relaxed KSrIn2 crystal, from Alexandria.

```
data_KSrIn2
_chemical_formula_sum 'K4 Sr4 In8'
_cell_length_a 8.249
_cell_length_b 8.249
_cell_length_c 8.249
_cell_angle_alpha 90.00
_cell_angle_beta 90.00
_cell_angle_gamma 90.00
_symmetry_space_group_name_H-M 'F m -3 m'
_symmetry_Int_Tables_number 225
_symmetry_space_group_name_Hall '-F 4 2 3'
loop_
_atom_site_label
_atom_site_type_symbol
_atom_site_fract_x
_atom_site_fract_y
_atom_site_fract_z
_atom_site_occupancy
K1 K 0.000 0.000 0.000 1
Sr1 Sr 0.000 0.000 0.500 1
In1 In 0.250 0.250 0.250 1
```

Crystal system   cubic
Fermi-level density of states   0.7674 states/eV/atom
ΔH_f (0 K)   -0.155 eV per atom
Calculated total energy   -2.22 eV per atom